This record from the Alexandria database describes crystalline Li3AlCoO4 at its relaxed geometry. The functional is GGA+U.

The space group is I4_1/a (No. 88, origin choice 2) and the conventional cell measures 10.622, 10.622 and 13.508 Å, with angles of 90.00, 90.00 and 90.00 degrees. Symmetry generates all atoms from Li at (0.000, 0.100, 0.055), Li at (0.003, 0.104, 0.323), Li at (0.011, 0.417, 0.565), Al at (0.014, 0.429, 0.807), Co at (0.240, 0.009, 0.937), O at (0.069, 0.089, 0.921), O at (0.076, 0.077, 0.697), O at (0.082, 0.085, 0.189) and O at (0.094, 0.092, 0.445).

The total energy is -5.862 eV per atom. Its total magnetization is 0.333 μB per atom. The density of states at the Fermi level comes out at 0.000 states/eV per atom.